VASP calculation (PBEsol) on crystalline Ba2SrAu at its relaxed geometry.

abc: 4.5546 4.5546 32.8669
angles: 90.00 90.00 120.00
Space group R-3m (No. 166, hexagonal axes)
Inequivalent atoms, fractional coordinates:
Ba (0.0000, 0.0000, 0.2220) [6 per cell]
Sr (0.0000, 0.0000, 0.0000) [3 per cell]
Au (0.0000, 0.0000, 0.5000) [3 per cell]

Calculated values
energy of formation: -0.30 eV/atom
electronic total energy: -11.26 eV/f.u.
energy relative to the lowest polymorph listed for this composition: 0.034 eV per atom
theoretical density: 4718 kg/m³

VASP calculation (PBEsol) on crystalline BaTl2RuBr at its relaxed geometry.

abc: 5.1852 5.1852 5.7655
angles: 90.00 90.00 90.00
Space group P4/mmm (No. 123)
Inequivalent atoms, fractional coordinates:
Ba (0.0000, 0.0000, 0.0000) [1 per cell]
Tl (0.0000, 0.5000, 0.5000) [2 per cell]
Ru (0.0000, 0.0000, 0.5000) [1 per cell]
Br (0.5000, 0.5000, 0.0000) [1 per cell]

Calculated values
electronic total energy: -21.18 eV/f.u.
theoretical density: 7788 kg/m³

VASP calculation (PBEsol) on crystalline Cs2HgAsI6 at its relaxed geometry.

abc: 11.7483 11.7483 11.7483
angles: 90.00 90.00 90.00
Space group Fm-3m (No. 225)
Inequivalent atoms, fractional coordinates:
Cs (0.2500, 0.2500, 0.2500) [8 per cell]
Hg (0.0000, 0.0000, 0.0000) [4 per cell]
As (0.0000, 0.0000, 0.5000) [4 per cell]
I (0.0000, 0.0000, 0.2574) [24 per cell]

Calculated values
electronic total energy: -25.65 eV/f.u.
theoretical density: 5336 kg/m³

VASP calculation (PBEsol) on crystalline Cd2CuCl at its relaxed geometry.

abc: 3.0043 4.8660 5.2011
angles: 90.00 90.00 90.00
Space group Pmmm (No. 47)
Inequivalent atoms, fractional coordinates:
Cd (0.0000, 0.0000, 0.0000) [1 per cell]
Cd (0.5000, 0.5000, 0.0000) [1 per cell]
Cu (0.0000, 0.5000, 0.5000) [1 per cell]
Cl (0.5000, 0.0000, 0.5000) [1 per cell]

Calculated values
electronic total energy: -8.15 eV/f.u.
energy relative to the lowest polymorph listed for this composition: 0.124 eV per atom
theoretical density: 7072 kg/m³

Q: Among the records above, which one has the highest electronic total energy?
A: Cd2CuCl

Q: Which formula does entry 2 have?
A: BaTl2RuBr